1.
Density functional theory data (PBE) for crystalline HfNbIrW2 at its relaxed geometry.

Geometry as extended XYZ:
```
5
Lattice="-0.4298 -3.0935 3.5705 -2.2527 -3.0186 -2.8865 4.1530 -1.9564 -1.1951" Properties=species:S:1:pos:R:3 pbc="T T T"
Nb 0.0000 0.0000 0.0000
Ir -1.1263 -1.5093 -1.4433
Hf 0.7353 -4.0342 -0.2556
W 2.0765 -0.9782 -0.5976
W -0.2149 -1.5467 1.7852
```

Summary:
Total moment   0.000 μB/cell
Uncorrected energy   -9.369 eV/atom
Space-group type   P4/mmm

=====

2.
Density functional theory data (PBE) for crystalline Tb6Ce2Er at its relaxed geometry.

Geometry as extended XYZ:
```
9
Lattice="-4.4957 2.0728 -0.7513 -5.2692 -5.8076 -1.1780 -3.6013 0.7690 6.9859" Properties=species:S:1:pos:R:3 pbc="T T T"
Tb -10.3747 -2.7851 4.3400
Tb -2.9915 -0.1807 0.7167
Tb -4.9776 -4.6798 0.1884
Tb -7.6783 -3.7372 2.2640
Tb -8.3886 1.7140 4.8683
Tb -5.6879 0.7714 2.7927
Ce -7.1420 -1.5735 5.0248
Ce -6.2242 -1.3923 0.0319
Er -4.4352 -2.5193 2.9040
```

Summary:
Total moment   1.531 μB/cell
Uncorrected energy   -4.856 eV/atom
Space-group type   Fmmm

=====

3.
Density functional theory data (PBE) for crystalline LiPu2Si3Pt4 at its relaxed geometry.

Geometry as extended XYZ:
```
10
Lattice="4.1549 0.0000 0.0000 0.0000 4.1549 0.0000 0.0000 0.0000 10.1693" Properties=species:S:1:pos:R:3 pbc="T T T"
Li 2.0775 2.0775 5.0847
Pu 2.0775 0.0000 2.6099
Pu 0.0000 2.0775 7.5594
Si 0.0000 0.0000 5.0847
Si 2.0775 0.0000 8.8145
Si 0.0000 2.0775 1.3549
Pt 2.0775 2.0775 0.0000
Pt 0.0000 0.0000 0.0000
Pt 2.0775 0.0000 6.4375
Pt 0.0000 2.0775 3.7319
```

Summary:
Total moment   10.764 μB/cell
Uncorrected energy   -7.962 eV/atom
Formation energy without anion corrections   -8.6 eV per formula unit
Space-group type   P-4m2